Material: K2CdRh
Method: DFT, PBE-GGA
State: optimized geometry

Cell lengths 4.395, 4.395, 5.380 Å; angles 90.00, 90.00, 90.00 degrees
Space group P4/mmm (No. 123)
Asymmetric unit:
K: 0.000 0.500 0.000 [2 per cell]
Cd: 0.000 0.000 0.500 [1 per cell]
Rh: 0.500 0.500 0.500 [1 per cell]

total magnetic moment: 0.000 μB per formula unit
electronic total energy: -0.159 Ry/atom